(1)
Below is Er6Te3AuSe2 after structural relaxation, with properties calculated at the GGA-PBE level. Values from VASP.

Summary:
The symmetry is C2/m. The crystal system is monoclinic.

Structure (Quantum ESPRESSO input):
```
&SYSTEM
  ibrav = 0, nat = 12, ntyp = 4
/
ATOMIC_SPECIES
Er 167.26 Er.upf
Te 127.60 Te.upf
Au 196.97 Au.upf
Se 78.96 Se.upf
CELL_PARAMETERS angstrom
-1.981 -1.510 6.831
-4.850 -0.580 -5.386
4.093 -5.978 -1.416
ATOMIC_POSITIONS angstrom
Er -1.572 -6.403 1.982
Er -4.211 -2.922 0.766
Er -1.166 -1.666 -1.954
Er -2.502 -6.101 -1.978
Er 1.473 -5.146 -0.738
Er -0.236 -1.967 2.007
Te -2.309 -3.729 -3.989
Te -0.429 -4.339 4.017
Te -1.369 -4.034 0.014
Au 0.000 0.000 0.000
Se -3.889 -0.892 -1.294
Se -2.942 -1.199 2.738
```

---

(2)
Below is Pr2RuC2N6 after structural relaxation, with properties calculated at the GGA-PBE level. Values from VASP.

Summary:
The symmetry is R-3m. The crystal system is trigonal.

Structure (Quantum ESPRESSO input):
```
&SYSTEM
  ibrav = 0, nat = 11, ntyp = 4
/
ATOMIC_SPECIES
Pr 140.91 Pr.upf
Ru 101.07 Ru.upf
C 12.01 C.upf
N 14.01 N.upf
CELL_PARAMETERS angstrom
5.176 0.000 0.000
2.588 4.483 0.000
2.588 1.494 5.254
ATOMIC_POSITIONS angstrom
Pr 7.765 4.483 3.479
Pr 2.588 1.494 1.775
Ru 0.000 0.000 0.000
C 5.176 2.989 4.040
C 5.176 2.989 1.214
N 6.358 3.671 1.291
N 3.995 3.671 1.291
N 5.176 1.624 1.291
N 5.176 4.353 3.963
N 6.358 2.306 3.963
N 3.995 2.306 3.963
```

---

no.,size of the total moment (μB per formula unit),VASP energy (eV per atom)
1,0.000,-5.28
2,0.000,-8.30